A relaxed structure of CaTmTlPb. Source: the Alexandria database, functional PBE.

a = 5.4387 Å, b = 5.4387 Å, c = 5.4387 Å
α = 60.00°, β = 60.00°, γ = 60.00°
Closest atoms and distances in Å follow each position.
Element x y z (fractional)
Tl 0.0000 0.0000 0.0000  4 Ca 3.33, 4 Tm 3.33
Pb 0.5000 0.5000 0.5000  4 Tm 3.33, 4 Ca 3.33
Tm 0.2500 0.2500 0.2500  4 Tl 3.33, 4 Pb 3.33
Ca 0.7500 0.7500 0.7500  4 Pb 3.33, 4 Tl 3.33

Values from the calculation:
- Electronic total energy: -14.023 eV/f.u.
- Magnetic moment: 0.00 μB/f.u.
- Symmetry: F-43m (216)
- Crystal system: cubic
- Formation energy from the elements: -0.369 eV per atom